Entry from Alexandria: a relaxed structure of Rb4Dy3PuO8 (GGA-PBE).

a b c (Å): 7.0789 7.0789 19.6906
angles (deg): 90.00 90.00 120.00
With the nearest neighbours (Å) after each atom.
Space group R-3m (No. 166, hexagonal axes)
Inequivalent atoms, fractional coordinates:
Rb: 0.0000 0.0000 0.0000  6 O 2.93
Rb: 0.0000 0.5000 0.0000  6 O 2.95-2.96
Dy: 0.0000 0.5000 0.5000  6 O 2.33-2.35
Pu: 0.0000 0.0000 0.5000  6 O 2.37
O: 0.0000 0.0000 0.2252  3 Dy 2.35
O: 0.0048 0.5024 0.7747  2 Dy 2.33, 1 Pu 2.37

Summary:
Crystal system: trigonal
N(E_F), states/eV/cell: 18.2
DFT total energy, Ha/atom: -0.2597